[1]
AcSmSi2 | GGA-PBE | optimized geometry

Geometry as POSCAR:
```
AcSmSi2
1.0
7.3573 0.0000 0.0000
0.0000 6.7347 0.0000
0.0000 0.0000 8.6033
Ac Sm Si
4 4 8
direct
0.0068 0.2500 0.1813
0.4932 0.7500 0.6813
0.5068 0.2500 0.3187
0.9932 0.7500 0.8187
0.1809 0.2500 0.6898
0.3191 0.7500 0.1898
0.6809 0.2500 0.8102
0.8191 0.7500 0.3102
0.1564 0.5647 0.4632
0.1564 0.9353 0.4632
0.3436 0.0647 0.9632
0.3436 0.4353 0.9632
0.6564 0.5647 0.0368
0.6564 0.9353 0.0368
0.8436 0.0647 0.5368
0.8436 0.4353 0.5368
```

Computed properties:
V: 26.64 A^3/atom
final energy: -5.521 eV/atom
SG: Pnma
M_tot: 0.000 μB/atom
ΔE to the lowest computed polymorph: 0.033 eV per atom
formation energy from raw total energies: -603 meV per atom
crystal system: orthorhombic



[2]
HoPSe | GGA-PBE | optimized geometry

Geometry as POSCAR:
```
HoPSe
1.0
1.9814 -7.3059 0.0000
1.9814 7.3059 0.0000
0.0000 0.0000 4.4525
Ho P Se
2 2 2
direct
0.1060 0.8940 0.7500
0.8940 0.1060 0.2500
0.4681 0.5319 0.7500
0.5319 0.4681 0.2500
0.2458 0.7542 0.2500
0.7542 0.2458 0.7500
```

Computed properties:
V: 21.48 A^3/atom
final energy: -5.511 eV/atom
SG: Cmcm
M_tot: 0.000 μB/atom
formation energy from raw total energies: -1020 meV per atom
crystal system: orthorhombic



[3]
La2HoEr2Mg5 | GGA-PBE | optimized geometry

Geometry as POSCAR:
```
La2HoEr2Mg5
1.0
10.6222 0.0000 0.0000
0.0000 10.6222 0.0000
0.0000 0.0000 5.0929
La Ho Er Mg
4 2 4 10
direct
0.1756 0.3244 0.0000
0.3244 0.8244 0.0000
0.6756 0.1756 0.0000
0.8244 0.6756 0.0000
0.0000 0.0000 0.0000
0.5000 0.5000 0.0000
0.1205 0.6205 0.0000
0.3795 0.1205 0.0000
0.6205 0.8795 0.0000
0.8795 0.3795 0.0000
0.0000 0.5000 0.5000
0.0707 0.8015 0.5000
0.1985 0.0707 0.5000
0.3015 0.5707 0.5000
0.4293 0.3015 0.5000
0.5000 0.0000 0.5000
0.5707 0.6985 0.5000
0.6985 0.4293 0.5000
0.8015 0.9293 0.5000
0.9293 0.1985 0.5000
```

Computed properties:
V: 28.73 A^3/atom
final energy: -3.143 eV/atom
SG: P4/mbm
M_tot: 0.000 μB/atom
energy relative to the elements: 0.01 eV per atom
crystal system: tetragonal



Computed density of states at the Fermi level (states/eV/cell) in order:
9.88, 1.32, 14.41